Entry from Alexandria: crystalline BaCaVO4 at its relaxed geometry (PBE with a Hubbard U).

- total energy (eV per cell) = -97.67
- crystal system = monoclinic

Cell and atoms, written as CIF:
```
data_BaCaVO4
_cell_length_a 5.9118
_cell_length_b 5.9571
_cell_length_c 7.1378
_cell_angle_alpha 90.00
_cell_angle_beta 107.32
_cell_angle_gamma 90.00
_symmetry_space_group_name_H-M 'P 1 21/m 1'
_symmetry_Int_Tables_number 11
_symmetry_space_group_name_Hall '-P 2yb'
loop_
_atom_site_label
_atom_site_type_symbol
_atom_site_fract_x
_atom_site_fract_y
_atom_site_fract_z
Ba1 Ba 0.2402 0.2500 0.4428
Ca1 Ca 0.3264 0.2500 0.9675
V1 V 0.2193 0.7500 0.1650
O1 O 0.0381 0.7500 0.9204
O2 O 0.0572 0.7500 0.3410
O3 O 0.4495 0.5227 0.2107
```